First-principles (PBE) data for an optimized crystal structure of La2GaCoOs, as listed in Alexandria via LeMat-Bulk.

Properties
DFT formation energy = 0.798 eV/atom
SG = No. 123

abc: 5.6495 5.6495 4.5198
angles: 90.00 90.00 90.00
With the nearest neighbours (Å) after each atom.
Positions (direct):
La: 0.0000 0.5000 0.0000  2 Ga 2.82
La: 0.5000 0.0000 0.0000  2 Ga 2.82
Ga: 0.0000 0.0000 0.0000  2 Os 2.26
Co: 0.5000 0.5000 0.5000  8 La 3.62, 4 Os 3.99
Os: 0.0000 0.0000 0.5000  2 Ga 2.26